[1]
This record from Alexandria via LeMat-Bulk describes a relaxed structure of LuThCdCu. The functional is PBE-GGA.

Results
energy of formation: -0.33 eV/f.u.

Lattice parameters (Å, degrees): 7.311 7.311 7.311 90.00 90.00 90.00
Space group F-43m (No. 216)
Asymmetric unit:
Lu 0.000 0.000 0.000 x4
Th 0.000 0.000 0.500 x4
Cd 0.250 0.250 0.750 x4
Cu 0.250 0.250 0.250 x4

[2]
This record from Alexandria via LeMat-Bulk describes a relaxed structure of Rb2TbThS4. The functional is PBE-GGA.

Results
energy relative to the elements, uncorrected: -1.75 eV/atom

Lattice parameters (Å, degrees): 7.129 4.121 8.098 90.00 107.00 90.00
Space group P2/m (No. 10)
Asymmetric unit:
Rb 0.000 0.000 0.000 x1
Rb 0.500 0.500 0.000 x1
Tb 0.000 0.500 0.500 x1
Th 0.500 0.000 0.500 x1
S 0.230 0.000 0.696 x2
S 0.263 0.500 0.300 x2

[3]
This record from Alexandria via LeMat-Bulk describes a relaxed structure of Tm2ThNb. The functional is PBE-GGA.

Results
energy of formation: 2.10 eV/f.u.

Lattice parameters (Å, degrees): 3.3008 3.3008 34.7061 90.00 90.00 120.00
Space group R-3m (No. 166, hexagonal axes)
Asymmetric unit:
Tm 0.0000 0.0000 0.0834 x6
Th 0.0000 0.0000 0.5000 x3
Nb 0.0000 0.0000 0.0000 x3

no.,total DFT energy (no corrections) (eV for the cell shown),total magnetization (μB/cell)
1,-69.1,2.3
2,-44.5,0.0
3,-73.0,2.1